(1)
## Pm4Ga2Si (GGA-PBE)

Data for a relaxed structure of Pm4Ga2Si.

a b c (Å): 4.998 4.998 15.043
angles (deg): 90.00 90.00 90.00
Space group I4/mmm (No. 139)
Asymmetric unit:
Pm 0.000 0.500 0.121 (multiplicity 8)
Ga 0.000 0.000 0.243 (multiplicity 4)
Si 0.000 0.000 0.500 (multiplicity 2)

Results
- Formation energy (no corrections): -3.5 eV per formula unit
- Total energy: -4.856 eV/atom
- Calculated density: 6.607 Mg/m³


(2)
## LiPmSmMg (GGA-PBE)

Data for a relaxed structure of LiPmSmMg.

a b c (Å): 7.667 7.667 7.667
angles (deg): 90.00 90.00 90.00
Space group F-43m (No. 216)
Asymmetric unit:
Li 0.000 0.000 0.000 (multiplicity 4)
Pm 0.250 0.250 0.250 (multiplicity 4)
Sm 0.250 0.250 0.750 (multiplicity 4)
Mg 0.000 0.000 0.500 (multiplicity 4)

Results
- Total energy: -3.224 eV/atom
- Calculated density: 4.814 Mg/m³
- Energy of formation: 20.3 meV/atom


(3)
## GdTiGe (GGA-PBE)

Data for a relaxed structure of GdTiGe.

a b c (Å): 4.069 4.069 15.636
angles (deg): 90.00 90.00 90.00
Space group I4/mmm (No. 139)
Asymmetric unit:
Gd 0.000 0.000 0.175 (multiplicity 4)
Ti 0.000 0.500 0.000 (multiplicity 4)
Ge 0.000 0.000 0.380 (multiplicity 4)

Results
- Total energy: -9.547 eV/atom
- Calculated density: 7.127 Mg/m³
- Energy of formation: -682.9 meV/atom


(4)
## HfCuTeBr2 (GGA-PBE)

Data for a relaxed structure of HfCuTeBr2.

a b c (Å): 5.106 5.106 5.570
angles (deg): 90.00 90.00 90.00
Space group P4/mmm (No. 123)
Asymmetric unit:
Hf 0.000 0.000 0.000 (multiplicity 1)
Cu 0.000 0.000 0.500 (multiplicity 1)
Te 0.500 0.500 0.500 (multiplicity 1)
Br 0.000 0.500 0.000 (multiplicity 2)

Results
- Formation energy (no corrections): 0.8 eV per formula unit
- Total energy: -3.941 eV/atom
- Calculated density: 6.054 Mg/m³


(5)
## YAu6 (GGA-PBE)

Data for a relaxed structure of YAu6.

a b c (Å): 7.384 7.384 7.384
angles (deg): 90.00 90.00 90.00
Space group Im-3m (No. 229)
Asymmetric unit:
Y 0.000 0.000 0.000 (multiplicity 2)
Au 0.000 0.250 0.500 (multiplicity 12)

Results
- Polymorph energy (0 for the lowest one): 0.00 eV/f.u.
- Total energy: -3.265 eV/atom
- Calculated density: 10.481 Mg/m³
- Energy of formation: 467.5 meV/atom


(6)
## PuTh2NpN4 (GGA-PBE)

Data for a relaxed structure of PuTh2NpN4.

a b c (Å): 6.148 3.573 6.205
angles (deg): 90.00 109.83 90.00
Space group P2/m (No. 10)
Asymmetric unit:
Pu 0.000 0.000 0.000 (multiplicity 1)
Th 0.500 0.000 0.500 (multiplicity 1)
Th 0.500 0.500 0.000 (multiplicity 1)
Np 0.000 0.500 0.500 (multiplicity 1)
N 0.231 0.000 0.736 (multiplicity 2)
N 0.234 0.500 0.249 (multiplicity 2)

Results
- Formation energy (no corrections): -10.7 eV per formula unit
- Total energy: -10.759 eV/atom
- Calculated density: 12.965 Mg/m³


(7)
## AlReAg3 (GGA-PBE)

Data for a relaxed structure of AlReAg3.

a b c (Å): 5.131 5.131 5.131
angles (deg): 90.00 90.00 90.00
Space group Pm-3m (No. 221)
Asymmetric unit:
Al 0.000 0.000 0.000 (multiplicity 1)
Re 0.500 0.500 0.500 (multiplicity 1)
Ag 0.000 0.500 0.500 (multiplicity 3)

Results
- Polymorph energy (0 for the lowest one): 1.24 eV/f.u.
- Total energy: -3.290 eV/atom
- Calculated density: 6.599 Mg/m³
- Energy of formation: 1658.7 meV/atom


(8)
## AlRh (GGA-PBE)

Data for a relaxed structure of AlRh.

a b c (Å): 2.835 3.863 10.813
angles (deg): 90.00 90.00 90.00
Space group Pmmn (No. 59, origin choice 2)
Asymmetric unit:
Al 0.250 0.250 0.064 (multiplicity 2)
Al 0.250 0.250 0.787 (multiplicity 2)
Rh 0.250 0.250 0.292 (multiplicity 2)
Rh 0.250 0.250 0.556 (multiplicity 2)

Results
- Total energy: -5.926 eV/atom
- Calculated density: 7.286 Mg/m³
- Energy of formation: -378.9 meV/atom


- Number 1 is which compound?
  Pm4Ga2Si


- Among the records above, which one has the highest calculated density?
  PuTh2NpN4


- What is the formula in the seventh record?
  AlReAg3


- Which value of calculated density does entry 1 give?
  6.607 Mg/m³